# DyScGa3, relaxed, DFT GGA-PBE
data_DyScGa3
_cell_length_a 3.985
_cell_length_b 25.111
_cell_length_c 4.124
_cell_angle_alpha 90.00
_cell_angle_beta 90.00
_cell_angle_gamma 90.00
_symmetry_space_group_name_H-M 'C m c m'
_symmetry_Int_Tables_number 63
_symmetry_space_group_name_Hall '-C 2c 2'
loop_
_atom_site_label
_atom_site_type_symbol
_atom_site_fract_x
_atom_site_fract_y
_atom_site_fract_z
_atom_site_occupancy
Dy1 Dy 0.000 0.075 0.250 1
Sc1 Sc 0.000 0.206 0.750 1
Ga1 Ga 0.000 0.319 0.750 1
Ga2 Ga 0.000 0.377 0.250 1
Ga3 Ga 0.000 0.475 0.250 1
# Mass density   6.705 g/cm3
# N(E_F)   0.67 states/eV per atom
# Final energy   -92.45 eV per cell

# LiB2C2, relaxed, DFT GGA-PBE
data_LiB2C2
_cell_length_a 5.394
_cell_length_b 4.697
_cell_length_c 7.775
_cell_angle_alpha 90.00
_cell_angle_beta 109.81
_cell_angle_gamma 90.00
_symmetry_space_group_name_H-M 'P 1 2/c 1'
_symmetry_Int_Tables_number 13
_symmetry_space_group_name_Hall '-P 2yc'
loop_
_atom_site_label
_atom_site_type_symbol
_atom_site_fract_x
_atom_site_fract_y
_atom_site_fract_z
_atom_site_occupancy
Li1 Li 0.146 0.249 0.498 1
B1 B 0.000 0.084 0.750 1
B2 B 0.252 0.417 0.247 1
B3 B 0.500 0.079 0.750 1
C1 C 0.000 0.421 0.750 1
C2 C 0.246 0.083 0.243 1
C3 C 0.500 0.414 0.750 1
# Mass density   1.884 g/cm3
# N(E_F)   0.22 states/eV per atom
# Relative energy among the computed polymorphs   0.18 eV/f.u.
# Final energy   -135.54 eV per cell